No. 1
UCrSi2 after structural relaxation. Source: Alexandria via LeMat-Bulk, functional GGA-PBE.

Computed properties:
Calculated density   9.33 Mg/m³
Formation energy without anion corrections   40 meV per atom
E_tot   -7.8990 eV per atom
Calculated volume   184.78 Å³/cell
SG   R-3m

Unit cell a=2.8289 b=2.8289 c=26.6615 alpha=90.00 beta=90.00 gamma=120.00
Closest atoms and distances in Å follow each position.
Atoms (fractional coordinates):
U: 0.0000 0.0000 0.0000  6 U 2.83, 6 Si 3.02
U: 0.3333 0.6667 0.6667  6 U 2.83, 6 Si 3.02
U: 0.6667 0.3333 0.3333  6 U 2.83, 6 Si 3.02
Cr: 0.0000 0.0000 0.5000  6 Si 2.51
Cr: 0.3333 0.6667 0.1667  6 Si 2.51
Cr: 0.6667 0.3333 0.8333  6 Si 2.51
Si: 0.0000 0.0000 0.2380  3 Cr 2.51
Si: 0.0000 0.0000 0.7620  3 Cr 2.51
Si: 0.3333 0.6667 0.4286  3 Cr 2.51
Si: 0.3333 0.6667 0.9047  3 Cr 2.51
Si: 0.6667 0.3333 0.0953  3 Cr 2.51
Si: 0.6667 0.3333 0.5714  3 Cr 2.51


No. 2
TiTeMo3 after structural relaxation. Source: Alexandria via LeMat-Bulk, functional GGA-PBE.

Computed properties:
Calculated density   6.77 Mg/m³
Formation energy without anion corrections   1755 meV per atom
E_tot   -6.9509 eV per atom
Calculated volume   113.70 Å³/cell
SG   Pm-3m

Unit cell a=4.8445 b=4.8445 c=4.8445 alpha=90.00 beta=90.00 gamma=90.00
Closest atoms and distances in Å follow each position.
Atoms (fractional coordinates):
Ti: 0.0000 0.0000 0.0000  12 Mo 3.43
Te: 0.5000 0.5000 0.5000  6 Mo 2.42
Mo: 0.0000 0.5000 0.5000  2 Te 2.42
Mo: 0.5000 0.0000 0.5000  2 Te 2.42
Mo: 0.5000 0.5000 0.0000  2 Te 2.42


No. 3
LaReMo2 after structural relaxation. Source: Alexandria via LeMat-Bulk, functional GGA-PBE.

Computed properties:
ΔH_f (0 K)   610.3 meV per atom
Calculated density   11.52 Mg/m³
E_tot   -9.1492 eV per atom
Calculated volume   149.00 Å³/cell
SG   Imm2

Unit cell a=3.1899 b=4.9981 c=9.3455 alpha=90.00 beta=90.00 gamma=90.00
Closest atoms and distances in Å follow each position.
Atoms (fractional coordinates):
La: 0.0000 0.0000 0.0000  6 Mo 2.93-2.97, 2 Re 2.95, 2 La 3.19
La: 0.5000 0.5000 0.5000  6 Mo 2.93-2.97, 2 Re 2.95, 2 La 3.19
Re: 0.0000 0.5000 0.2350  6 Mo 2.67-2.98, 2 La 2.95
Re: 0.5000 0.0000 0.7350  6 Mo 2.67-2.98, 2 La 2.95
Mo: 0.0000 0.0000 0.5054  2 Re 2.67, 2 Mo 2.77, 4 La 2.97
Mo: 0.0000 0.5000 0.7633  2 Mo 2.77, 2 La 2.93, 4 Re 2.98
Mo: 0.5000 0.0000 0.2633  2 Mo 2.77, 2 La 2.93, 4 Re 2.98
Mo: 0.5000 0.5000 0.0054  2 Re 2.67, 2 Mo 2.77, 4 La 2.97


No. 4
Ce4Co2Au after structural relaxation. Source: Alexandria via LeMat-Bulk, functional GGA-PBE.

Computed properties:
ΔH_f (0 K)   -282.2 meV per atom
Calculated density   9.29 Mg/m³
E_tot   -6.1714 eV per atom
Calculated volume   312.80 Å³/cell
SG   Cc

Unit cell a=8.2530 b=8.2530 c=6.5588 alpha=106.62 beta=106.62 gamma=120.81
Closest atoms and distances in Å follow each position.
Atoms (fractional coordinates):
Ce: 0.0232 0.9768 0.5000  2 Co 2.65-2.88
Ce: 0.0505 0.4883 0.3032  3 Co 2.74-2.86
Ce: 0.2819 0.8365 0.1411  1 Co 2.40
Ce: 0.4107 0.5721 0.8351  1 Co 2.33
Ce: 0.4883 0.0505 0.8032  3 Co 2.74-2.86
Ce: 0.5721 0.4107 0.3351  1 Co 2.33
Ce: 0.8365 0.2819 0.6411  1 Co 2.40
Ce: 0.9768 0.0232 0.0000  2 Co 2.65-2.88
Co: 0.0811 0.7400 0.7199  1 Ce 2.40
Co: 0.2146 0.3915 0.9989  1 Ce 2.33
Co: 0.3915 0.2146 0.4989  1 Ce 2.33
Co: 0.7400 0.0811 0.2199  1 Ce 2.40
Au: 0.5611 0.7761 0.4678  1 Co 2.79, 3 Ce 2.95-3.10
Au: 0.7761 0.5611 0.9678  1 Co 2.79, 3 Ce 2.95-3.10


No. 5
DyErBi after structural relaxation. Source: Alexandria via LeMat-Bulk, functional GGA-PBE.

Computed properties:
ΔH_f (0 K)   -300.6 meV per atom
Calculated density   10.04 Mg/m³
E_tot   -4.6492 eV per atom
Calculated volume   356.45 Å³/cell
SG   Cmcm

Unit cell a=5.4215 b=11.3447 c=5.7954 alpha=90.00 beta=90.00 gamma=90.00
Closest atoms and distances in Å follow each position.
Atoms (fractional coordinates):
Dy: 0.0000 0.2467 0.2500  4 Bi 3.17-3.37, 3 Er 3.48-3.49
Dy: 0.0000 0.7533 0.7500  4 Bi 3.17-3.37, 3 Er 3.48-3.49
Dy: 0.5000 0.2533 0.7500  4 Bi 3.17-3.37, 3 Er 3.48-3.49
Dy: 0.5000 0.7467 0.2500  4 Bi 3.17-3.37, 3 Er 3.48-3.49
Er: 0.0000 0.0610 0.7500  2 Er 3.21, 2 Bi 3.28, 5 Dy 3.48-3.58
Er: 0.0000 0.9390 0.2500  2 Er 3.21, 2 Bi 3.28, 5 Dy 3.48-3.58
Er: 0.5000 0.4390 0.2500  2 Er 3.21, 2 Bi 3.28, 5 Dy 3.48-3.58
Er: 0.5000 0.5611 0.7500  2 Er 3.21, 2 Bi 3.28, 5 Dy 3.48-3.58
Bi: 0.0000 0.3975 0.7500  4 Dy 3.17-3.37, 2 Er 3.28
Bi: 0.0000 0.6025 0.2500  4 Dy 3.17-3.37, 2 Er 3.28
Bi: 0.5000 0.1025 0.2500  4 Dy 3.17-3.37, 2 Er 3.28
Bi: 0.5000 0.8975 0.7500  4 Dy 3.17-3.37, 2 Er 3.28


No. 6
TiBeReMo after structural relaxation. Source: Alexandria via LeMat-Bulk, functional GGA-PBE.

Computed properties:
ΔH_f (0 K)   -93.1 meV per atom
Calculated density   9.89 Mg/m³
E_tot   -8.8182 eV per atom
Calculated volume   227.65 Å³/cell
SG   F-43m

Unit cell a=6.1059 b=6.1059 c=6.1059 alpha=90.00 beta=90.00 gamma=90.00
Closest atoms and distances in Å follow each position.
Atoms (fractional coordinates):
Ti: 0.0000 0.0000 0.0000  4 Be 2.64, 4 Re 2.64
Ti: 0.0000 0.5000 0.5000  4 Be 2.64, 4 Re 2.64
Ti: 0.5000 0.0000 0.5000  4 Be 2.64, 4 Re 2.64
Ti: 0.5000 0.5000 0.0000  4 Be 2.64, 4 Re 2.64
Be: 0.2500 0.2500 0.2500  4 Mo 2.64, 4 Ti 2.64
Be: 0.2500 0.7500 0.7500  4 Mo 2.64, 4 Ti 2.64
Be: 0.7500 0.2500 0.7500  4 Mo 2.64, 4 Ti 2.64
Be: 0.7500 0.7500 0.2500  4 Mo 2.64, 4 Ti 2.64
Re: 0.2500 0.2500 0.7500  4 Mo 2.64, 4 Ti 2.64
Re: 0.2500 0.7500 0.2500  4 Mo 2.64, 4 Ti 2.64
Re: 0.7500 0.2500 0.2500  4 Mo 2.64, 4 Ti 2.64
Re: 0.7500 0.7500 0.7500  4 Mo 2.64, 4 Ti 2.64
Mo: 0.0000 0.0000 0.5000  4 Re 2.64, 4 Be 2.64
Mo: 0.0000 0.5000 0.0000  4 Re 2.64, 4 Be 2.64
Mo: 0.5000 0.0000 0.0000  4 Re 2.64, 4 Be 2.64
Mo: 0.5000 0.5000 0.5000  4 Re 2.64, 4 Be 2.64


No. 7
LiNiAs2Os after structural relaxation. Source: Alexandria via LeMat-Bulk, functional GGA-PBE.

Computed properties:
ΔH_f (0 K)   868.9 meV per atom
Calculated density   7.12 Mg/m³
E_tot   -4.7759 eV per atom
Calculated volume   94.68 Å³/cell
SG   P4/mmm

Unit cell a=4.5133 b=4.5133 c=4.6479 alpha=90.00 beta=90.00 gamma=90.00
Closest atoms and distances in Å follow each position.
Atoms (fractional coordinates):
Li: 0.0000 0.0000 0.0000  4 Os 3.19, 8 As 3.24
Ni: 0.5000 0.5000 0.5000  4 As 2.26, 2 Os 2.32
As: 0.0000 0.5000 0.5000  2 Ni 2.26
As: 0.5000 0.0000 0.5000  2 Ni 2.26
Os: 0.5000 0.5000 0.0000  2 Ni 2.32


No. 8
NpFe2Ru after structural relaxation. Source: Alexandria via LeMat-Bulk, functional GGA-PBE.

Computed properties:
ΔH_f (0 K)   177.3 meV per atom
Calculated density   12.64 Mg/m³
E_tot   -9.6082 eV per atom
Calculated volume   236.31 Å³/cell
SG   Fm-3m

Unit cell a=6.1825 b=6.1825 c=6.1825 alpha=90.00 beta=90.00 gamma=90.00
Closest atoms and distances in Å follow each position.
Atoms (fractional coordinates):
Np: 0.0000 0.0000 0.0000  8 Fe 2.68
Np: 0.0000 0.5000 0.5000  8 Fe 2.68
Np: 0.5000 0.0000 0.5000  8 Fe 2.68
Np: 0.5000 0.5000 0.0000  8 Fe 2.68
Fe: 0.2500 0.2500 0.2500  4 Ru 2.68, 4 Np 2.68
Fe: 0.2500 0.2500 0.7500  4 Ru 2.68, 4 Np 2.68
Fe: 0.2500 0.7500 0.2500  4 Ru 2.68, 4 Np 2.68
Fe: 0.2500 0.7500 0.7500  4 Ru 2.68, 4 Np 2.68
Fe: 0.7500 0.2500 0.2500  4 Ru 2.68, 4 Np 2.68
Fe: 0.7500 0.2500 0.7500  4 Ru 2.68, 4 Np 2.68
Fe: 0.7500 0.7500 0.2500  4 Ru 2.68, 4 Np 2.68
Fe: 0.7500 0.7500 0.7500  4 Np 2.68, 4 Ru 2.68
Ru: 0.0000 0.0000 0.5000  8 Fe 2.68
Ru: 0.0000 0.5000 0.0000  8 Fe 2.68
Ru: 0.5000 0.0000 0.0000  8 Fe 2.68
Ru: 0.5000 0.5000 0.5000  8 Fe 2.68


No. 9
LaMgAl2 after structural relaxation. Source: Alexandria via LeMat-Bulk, functional GGA-PBE.

Computed properties:
ΔH_f (0 K)   -193.7 meV per atom
Calculated density   3.72 Mg/m³
E_tot   -3.6955 eV per atom
Calculated volume   96.95 Å³/cell
SG   Pm

Unit cell a=3.5689 b=4.5269 c=6.2545 alpha=90.00 beta=106.38 gamma=90.00
Closest atoms and distances in Å follow each position.
Atoms (fractional coordinates):
La: 0.0000 0.0000 0.0000  7 Al 3.16-3.31
Mg: 0.6896 0.5000 0.3761  6 Al 3.03-3.04
Al: 0.2704 0.0000 0.5353  2 Al 2.72, 4 Mg 3.03-3.04
Al: 0.3945 0.5000 0.7858  2 Al 2.72, 1 Mg 3.03


No. 10
CsCdAs2Ru after structural relaxation. Source: Alexandria via LeMat-Bulk, functional GGA-PBE.

Computed properties:
ΔH_f (0 K)   57.6 meV per atom
Calculated density   6.33 Mg/m³
E_tot   -4.0111 eV per atom
Calculated volume   130.26 Å³/cell
SG   P4/mmm

Unit cell a=4.9134 b=4.9134 c=5.3959 alpha=90.00 beta=90.00 gamma=90.00
Closest atoms and distances in Å follow each position.
Atoms (fractional coordinates):
Cs: 0.0000 0.0000 0.0000  4 Cd 3.47, 8 As 3.65
Cd: 0.5000 0.5000 0.0000  2 Ru 2.70
As: 0.0000 0.5000 0.5000  2 Ru 2.46
As: 0.5000 0.0000 0.5000  2 Ru 2.46
Ru: 0.5000 0.5000 0.5000  4 As 2.46, 2 Cd 2.70


No. 11
Ca2HI3 after structural relaxation. Source: Alexandria via LeMat-Bulk, functional GGA-PBE.

Computed properties:
Calculated density   3.58 Mg/m³
E_tot   -3.2603 eV per atom
Calculated volume   428.57 Å³/cell
SG   C2/m

Unit cell a=9.2927 b=9.2927 c=11.8278 alpha=116.34 beta=116.34 gamma=28.15
Closest atoms and distances in Å follow each position.
Atoms (fractional coordinates):
Ca: 0.0840 0.0840 0.4532  2 H 2.30-2.31
Ca: 0.3602 0.3602 0.1882  2 H 3.01, 5 I 3.10-3.33
Ca: 0.6398 0.6398 0.8118  2 H 3.01, 5 I 3.10-3.33
Ca: 0.9160 0.9160 0.5468  2 H 2.30-2.31
H: 0.0590 0.0590 0.6278  2 Ca 2.30-2.31
H: 0.9410 0.9410 0.3722  2 Ca 2.30-2.31
I: 0.1554 0.1554 0.0004  3 Ca 3.10-3.33
I: 0.2874 0.2874 0.3801  3 Ca 3.10-3.19
I: 0.4527 0.4527 0.7504  3 Ca 3.11-3.14
I: 0.5473 0.5473 0.2496  3 Ca 3.11-3.14
I: 0.7126 0.7126 0.6199  3 Ca 3.10-3.19
I: 0.8446 0.8446 0.9996  3 Ca 3.10-3.33


No. 12
Li3ScC after structural relaxation. Source: Alexandria via LeMat-Bulk, functional GGA-PBE.

Computed properties:
ΔH_f (0 K)   503.6 meV per atom
Calculated density   1.92 Mg/m³
E_tot   -3.7558 eV per atom
Calculated volume   67.33 Å³/cell
SG   Pm-3m

Unit cell a=4.0682 b=4.0682 c=4.0682 alpha=90.00 beta=90.00 gamma=90.00
Closest atoms and distances in Å follow each position.
Atoms (fractional coordinates):
Li: 0.0000 0.0000 0.5000  2 C 2.03
Li: 0.0000 0.5000 0.0000  2 C 2.03
Li: 0.5000 0.0000 0.0000  2 C 2.03
Sc: 0.5000 0.5000 0.5000  12 Li 2.88
C: 0.0000 0.0000 0.0000  6 Li 2.03